A plane-wave DFT calculation with GGA-PBE was carried out for Zr2MnIn after structural relaxation.

Calculated values
Crystal system: tetragonal
Volume: 163.3 Å³/cell
Formation energy: -0.03 eV/atom
DFT total energy: -29.1 eV per formula unit

a = 4.1872 Å, b = 4.1872 Å, c = 9.3165 Å
α = 90.00°, β = 90.00°, γ = 90.00°
With the nearest neighbours (Å) after each atom.
Space group I-4m2 (No. 119)
Asymmetric unit:
Zr: 0.0000 0.0000 0.0000 (multiplicity 2)  4 Mn 2.96, 4 Zr 3.13, 4 In 3.13
Zr: 0.0000 0.5000 0.2500 (multiplicity 2)  4 In 2.96, 4 Zr 3.13, 4 Mn 3.13
Mn: 0.0000 0.0000 0.5000 (multiplicity 2)  8 Zr 2.96-3.13, 4 In 3.13
In: 0.0000 0.5000 0.7500 (multiplicity 2)  8 Zr 2.96-3.13, 4 Mn 3.13


A plane-wave DFT calculation with GGA-PBE was carried out for Zr2MnIn after structural relaxation.

Calculated values
Crystal system: trigonal
Volume: 244.3 Å³/cell
Formation energy: 0.03 eV/atom
DFT total energy: -28.9 eV per formula unit

a = 3.2545 Å, b = 3.2545 Å, c = 26.6295 Å
α = 90.00°, β = 90.00°, γ = 120.00°
With the nearest neighbours (Å) after each atom.
Space group R-3m (No. 166, hexagonal axes)
Asymmetric unit:
Zr: 0.0000 0.0000 0.2358 (multiplicity 6)  3 Mn 2.63
Mn: 0.0000 0.0000 0.5000 (multiplicity 3)  6 Zr 2.63
In: 0.0000 0.0000 0.0000 (multiplicity 3)  6 Zr 3.21, 6 In 3.25